# 1
PrEr4Zn4: relaxed, PBE-GGA.

CIF file:
```
data_PrEr4Zn4
_chemical_formula_sum 'Pr2 Er8 Zn8'
_cell_length_a 9.193
_cell_length_b 9.193
_cell_length_c 5.340
_cell_angle_alpha 90.00
_cell_angle_beta 90.00
_cell_angle_gamma 90.00
_space_group_name_H-M_alt 'P 42/n'
_space_group_IT_number 86
loop_
_space_group_symop_operation_xyz
'x,y,z'
'-x,-y,-z'
'-y,x+1/2,z+1/2'
'y,-x+1/2,-z+1/2'
'-x+1/2,-y+1/2,z'
'x+1/2,y+1/2,-z'
'y+1/2,-x,z+1/2'
'-y+1/2,x,-z+1/2'
loop_
_atom_site_label
_atom_site_type_symbol
_atom_site_fract_x
_atom_site_fract_y
_atom_site_fract_z
Pr1 Pr 0.250 0.250 0.250
Er1 Er 0.101 0.841 0.625
Zn1 Zn 0.033 0.128 0.873
```

The value obtained for the theoretical density is 7.885 g/cm³. The formation enthalpy at 0 K comes out at -91 meV/atom.


# 2
Pr2ErZr: relaxed, PBE-GGA.

CIF file:
```
data_Pr2ErZr
_chemical_formula_sum 'Pr2 Er1 Zr1'
_cell_length_a 4.094
_cell_length_b 4.094
_cell_length_c 7.344
_cell_angle_alpha 90.00
_cell_angle_beta 90.00
_cell_angle_gamma 90.00
_space_group_name_H-M_alt 'P 4/m m m'
_space_group_IT_number 123
_space_group_name_Hall '-P 4 2'
loop_
_atom_site_label
_atom_site_type_symbol
_atom_site_fract_x
_atom_site_fract_y
_atom_site_fract_z
Pr1 Pr 0.000 0.000 0.227
Er1 Er 0.500 0.500 0.500
Zr1 Zr 0.500 0.500 0.000
```

The value obtained for the theoretical density is 7.289 g/cm³. The formation enthalpy at 0 K comes out at 173 meV/atom.


# 3
PrEr2Zr: relaxed, PBE-GGA.

CIF file:
```
data_PrEr2Zr
_chemical_formula_sum 'Pr1 Er2 Zr1'
_cell_length_a 3.997
_cell_length_b 3.997
_cell_length_c 7.484
_cell_angle_alpha 90.00
_cell_angle_beta 90.00
_cell_angle_gamma 90.00
_space_group_name_H-M_alt 'P 4/m m m'
_space_group_IT_number 123
_space_group_name_Hall '-P 4 2'
loop_
_atom_site_label
_atom_site_type_symbol
_atom_site_fract_x
_atom_site_fract_y
_atom_site_fract_z
Pr1 Pr 0.000 0.000 0.000
Er1 Er 0.500 0.500 0.283
Zr1 Zr 0.000 0.000 0.500
```

The value obtained for the theoretical density is 7.871 g/cm³. The formation enthalpy at 0 K comes out at 165 meV/atom.


# 4
Pr2ErZr: relaxed, PBE-GGA.

CIF file:
```
data_Pr2ErZr
_chemical_formula_sum 'Pr6 Er3 Zr3'
_cell_length_a 3.4241
_cell_length_b 3.4241
_cell_length_c 36.6346
_cell_angle_alpha 90.00
_cell_angle_beta 90.00
_cell_angle_gamma 120.00
_space_group_name_H-M_alt 'R -3 m'
_space_group_IT_number 166
_space_group_name_Hall '-R 3 2"'
loop_
_atom_site_label
_atom_site_type_symbol
_atom_site_fract_x
_atom_site_fract_y
_atom_site_fract_z
Pr1 Pr 0.0000 0.0000 0.0856
Er1 Er 0.0000 0.0000 0.5000
Zr1 Zr 0.0000 0.0000 0.0000
```

The value obtained for the theoretical density is 7.236 g/cm³. The formation enthalpy at 0 K comes out at 318 meV/atom.


# 5
PrEr2Zr: relaxed, PBE-GGA.

CIF file:
```
data_PrEr2Zr
_chemical_formula_sum 'Pr1 Er2 Zr1'
_cell_length_a 4.898
_cell_length_b 4.898
_cell_length_c 4.889
_cell_angle_alpha 90.00
_cell_angle_beta 90.00
_cell_angle_gamma 90.00
_space_group_name_H-M_alt 'P 4/m m m'
_space_group_IT_number 123
_space_group_name_Hall '-P 4 2'
loop_
_atom_site_label
_atom_site_type_symbol
_atom_site_fract_x
_atom_site_fract_y
_atom_site_fract_z
Pr1 Pr 0.000 0.000 0.000
Er1 Er 0.000 0.500 0.500
Zr1 Zr 0.500 0.500 0.000
```

The value obtained for the theoretical density is 8.023 g/cm³. The formation enthalpy at 0 K comes out at 109 meV/atom.


# 6
Pr2ErZr: relaxed, PBE-GGA.

CIF file:
```
data_Pr2ErZr
_chemical_formula_sum 'Pr6 Er3 Zr3'
_cell_length_a 3.5296
_cell_length_b 3.5296
_cell_length_c 34.3606
_cell_angle_alpha 90.00
_cell_angle_beta 90.00
_cell_angle_gamma 120.00
_space_group_name_H-M_alt 'R 3 m'
_space_group_IT_number 160
_space_group_name_Hall 'R 3 -2"'
loop_
_atom_site_label
_atom_site_type_symbol
_atom_site_fract_x
_atom_site_fract_y
_atom_site_fract_z
Pr1 Pr 0.0000 0.0000 0.0000
Pr2 Pr 0.0000 0.0000 0.1587
Er1 Er 0.0000 0.0000 0.5783
Zr1 Zr 0.0000 0.0000 0.7460
```

The value obtained for the theoretical density is 7.260 g/cm³. The formation enthalpy at 0 K comes out at 142 meV/atom.


In the order shown, the computed size of the total moment values come out to 0.00 0.00 0.00 0.00 0.00 0.00 μB per cell.